[1]
CrFe2H2 | PBE | optimized geometry

a = 2.6256 Å, b = 2.6256 Å, c = 11.2299 Å
α = 90.00°, β = 90.00°, γ = 90.00°
With the nearest neighbours (Å) after each atom.
Sites, in units of the cell vectors:
Cr: 0.0000 0.0000 0.0000  8 Fe 2.50, 4 Cr 2.63
Cr: 0.5000 0.5000 0.5000  8 Fe 2.50, 4 Cr 2.63
Fe: 0.0000 0.0000 0.3505  4 H 1.73
Fe: 0.0000 0.0000 0.6494  4 H 1.73
Fe: 0.5000 0.5000 0.1494  4 H 1.73
Fe: 0.5000 0.5000 0.8506  4 H 1.73
H: 0.0000 0.5000 0.2500  4 Fe 1.73, 4 H 1.86
H: 0.0000 0.5000 0.7500  4 Fe 1.73, 4 H 1.86
H: 0.5000 0.0000 0.2500  4 Fe 1.73, 4 H 1.86
H: 0.5000 0.0000 0.7500  4 Fe 1.73, 4 H 1.86

Values from the calculation:
- Total energy: -65.2 eV for the cell shown
- SG: No. 139
- M_tot: 2.19 μB/f.u.
- DOS at the Fermi energy: 9.1 states/eV per cell

***

[2]
La2SeCl | PBE | optimized geometry

a = 7.7385 Å, b = 8.9303 Å, c = 3.9293 Å
α = 90.00°, β = 119.05°, γ = 90.00°
With the nearest neighbours (Å) after each atom.
Sites, in units of the cell vectors:
La: 0.2500 0.2500 0.0000  2 Cl 2.98, 2 Se 2.98
La: 0.2500 0.7500 0.0000  2 Cl 2.98, 2 Se 2.98
La: 0.7500 0.2500 0.0000  2 Cl 2.98, 2 Se 2.98
La: 0.7500 0.7500 0.0000  2 Cl 2.98, 2 Se 2.98
Se: 0.0000 0.0000 0.5000  4 La 2.98
Se: 0.5000 0.5000 0.5000  4 La 2.98
Cl: 0.0000 0.5000 0.5000  4 La 2.98
Cl: 0.5000 0.0000 0.5000  4 La 2.98

Values from the calculation:
- Formation energy (no corrections): -1.4654 eV/atom
- SG: No. 12
- M_tot: 0.00 μB/f.u.
- DOS at the Fermi energy: 6.2 states/eV per cell

***

[3]
K2ScZn2Te4 | PBE | optimized geometry

a = 8.4171 Å, b = 8.4171 Å, c = 8.3493 Å
α = 108.62°, β = 108.62°, γ = 30.56°
With the nearest neighbours (Å) after each atom.
Sites, in units of the cell vectors:
K: 0.1283 0.1283 0.0630  7 Te 3.66-3.73, 1 K 3.95, 3 Zn 4.00-4.08
K: 0.8717 0.8717 0.9370  7 Te 3.66-3.73, 1 K 3.95, 3 Zn 4.00-4.08
Sc: 0.0000 0.0000 0.5000  6 Te 3.01-3.08
Zn: 0.3264 0.3264 0.5180  4 Te 2.65-2.83
Zn: 0.6736 0.6736 0.4820  4 Te 2.65-2.83
Te: 0.1992 0.1992 0.6811  3 Zn 2.72-2.83
Te: 0.4881 0.4881 0.7355  1 Zn 2.65
Te: 0.5119 0.5119 0.2645  1 Zn 2.65
Te: 0.8008 0.8008 0.3189  3 Zn 2.72-2.83

Values from the calculation:
- Formation energy (no corrections): -0.8041 eV/atom
- SG: No. 12
- M_tot: 0.64 μB/f.u.
- DOS at the Fermi energy: 3.4 states/eV per cell

***

[4]
Tm5Tl2Sn2 | PBE | optimized geometry

a = 8.7903 Å, b = 8.7903 Å, c = 7.9262 Å
α = 90.00°, β = 90.00°, γ = 54.46°
With the nearest neighbours (Å) after each atom.
Sites, in units of the cell vectors:
Tm: 0.0000 0.0000 0.0000  4 Sn 3.08-3.14, 2 Tl 3.30
Tm: 0.0386 0.6908 0.6695  3 Sn 3.04-3.26, 3 Tl 3.09-3.20
Tm: 0.1908 0.5386 0.1695  3 Sn 3.04-3.26, 3 Tl 3.09-3.20
Tm: 0.3092 0.9614 0.6695  3 Sn 3.04-3.26, 3 Tl 3.09-3.20
Tm: 0.4614 0.8092 0.1695  3 Sn 3.04-3.26, 3 Tl 3.09-3.20
Tm: 0.5000 0.5000 0.5000  4 Sn 3.08-3.14, 2 Tl 3.30
Tm: 0.5386 0.1908 0.8305  3 Sn 3.04-3.26, 3 Tl 3.09-3.20
Tm: 0.6908 0.0386 0.3305  3 Sn 3.04-3.26, 3 Tl 3.09-3.20
Tm: 0.8092 0.4614 0.8305  3 Sn 3.04-3.26, 3 Tl 3.09-3.20
Tm: 0.9614 0.3092 0.3305  3 Sn 3.04-3.26, 3 Tl 3.09-3.20
Tl: 0.2109 0.2109 0.0000  7 Tm 3.09-3.30
Tl: 0.2891 0.2891 0.5000  7 Tm 3.09-3.30
Tl: 0.7109 0.7109 0.5000  7 Tm 3.09-3.30
Tl: 0.7891 0.7891 0.0000  7 Tm 3.09-3.30
Sn: 0.1334 0.8666 0.3647  1 Sn 3.03, 8 Tm 3.04-3.26
Sn: 0.3666 0.6334 0.8647  1 Sn 3.03, 8 Tm 3.04-3.26
Sn: 0.6334 0.3666 0.1353  1 Sn 3.03, 8 Tm 3.04-3.26
Sn: 0.8666 0.1334 0.6353  1 Sn 3.03, 8 Tm 3.04-3.26

Values from the calculation:
- SG: No. 64
- M_tot: 0.00 μB/f.u.
- Formation enthalpy at 0 K: -0.486 eV/atom
- DOS at the Fermi energy: 15.3 states/eV per cell

***

[5]
LiRe2Sb | PBE | optimized geometry

a = 3.8142 Å, b = 3.8142 Å, c = 4.3630 Å
α = 90.00°, β = 90.00°, γ = 90.00°
With the nearest neighbours (Å) after each atom.
Sites, in units of the cell vectors:
Li: 0.0000 0.0000 0.0000  4 Sb 2.70, 8 Re 2.90
Re: 0.0000 0.5000 0.5000  4 Re 2.70, 4 Li 2.90, 4 Sb 2.90
Re: 0.5000 0.0000 0.5000  4 Re 2.70, 4 Li 2.90, 4 Sb 2.90
Sb: 0.5000 0.5000 0.0000  4 Li 2.70, 8 Re 2.90

Values from the calculation:
- Formation energy (no corrections): 0.4950 eV/atom
- SG: No. 123
- M_tot: 0.00 μB/f.u.
- DOS at the Fermi energy: 3.3 states/eV per cell

***

[6]
CdIn2S | PBE | optimized geometry

a = 3.8414 Å, b = 3.8414 Å, c = 23.7608 Å
α = 90.00°, β = 90.00°, γ = 120.00°
With the nearest neighbours (Å) after each atom.
Sites, in units of the cell vectors:
Cd: 0.0000 0.0000 0.0000  6 In 3.10-3.14
Cd: 0.3333 0.6667 0.6667  6 In 3.10-3.14
Cd: 0.6667 0.3333 0.3333  6 In 3.10-3.14
In: 0.0000 0.0000 0.5753  3 S 2.80, 3 Cd 3.10
In: 0.0000 0.0000 0.7604  3 S 2.87, 3 Cd 3.14
In: 0.3333 0.6667 0.2420  3 S 2.80, 3 Cd 3.10
In: 0.3333 0.6667 0.4271  3 S 2.87, 3 Cd 3.14
In: 0.6667 0.3333 0.0937  3 S 2.87, 3 Cd 3.14
In: 0.6667 0.3333 0.9087  3 S 2.80, 3 Cd 3.10
S: 0.0000 0.0000 0.1702  6 In 2.80-2.87
S: 0.3333 0.6667 0.8369  6 In 2.80-2.87
S: 0.6667 0.3333 0.5036  6 In 2.80-2.87

Values from the calculation:
- Formation energy (no corrections): -0.1690 eV/atom
- SG: No. 160
- M_tot: 0.00 μB/f.u.
- DOS at the Fermi energy: 4.8 states/eV per cell